i:
This record from Alexandria via LeMat-Bulk describes a relaxed LiPuHgAu crystal. The functional is PBE.

Lattice parameters (Å, degrees): 3.318 3.318 7.506 90.00 90.00 90.00
Fractional coordinates of all 4 atoms:
1 Au 0.000 0.000 0.526
2 Pu 0.500 0.500 0.804
3 Li 0.500 0.500 0.339
4 Hg 0.000 0.000 0.116

Summary:
- Crystal system: tetragonal
- Symmetry: No. 99

=====

ii:
This record from Alexandria via LeMat-Bulk describes a relaxed LiPuHgAu crystal. The functional is PBE.

Lattice parameters (Å, degrees): 4.960 4.960 4.960 60.00 60.00 60.00
Fractional coordinates of all 4 atoms:
1 Pu 0.750 0.750 0.750
2 Li 0.500 0.500 0.500
3 Au 0.000 0.000 0.000
4 Hg 0.250 0.250 0.250

Summary:
- Crystal system: cubic
- Symmetry: No. 216

=====

Most favorable first, least favorable last: i, ii

=====

i:
This record from Alexandria via LeMat-Bulk describes a relaxed LiHgSbAu crystal. The functional is PBE.

Lattice parameters (Å, degrees): 4.938 4.938 4.938 60.00 60.00 60.00
Fractional coordinates of all 4 atoms:
1 Hg 0.500 0.500 0.500
2 Au 0.000 0.000 0.000
3 Sb 0.750 0.750 0.750
4 Li 0.250 0.250 0.250

Summary:
- Crystal system: cubic
- Symmetry: No. 216

=====

ii:
This record from Alexandria via LeMat-Bulk describes a relaxed LiHgSbAu crystal. The functional is PBE.

Lattice parameters (Å, degrees): 4.559 4.558 5.958 67.42 67.51 59.99
Fractional coordinates of all 4 atoms:
1 Hg 0.967 0.253 0.814
2 Sb 0.528 0.813 0.132
3 Li 0.741 0.025 0.494
4 Au 0.143 0.427 0.287

Summary:
- Crystal system: monoclinic
- Symmetry: No. 8

=====

Most favorable first, least favorable last: ii, i

=====

i:
This record from Alexandria via LeMat-Bulk describes a relaxed SrLiHgAu crystal. The functional is PBE.

Lattice parameters (Å, degrees): 5.237 5.237 5.237 60.00 60.00 60.00
Fractional coordinates of all 4 atoms:
1 Sr 0.250 0.250 0.250
2 Li 0.750 0.750 0.750
3 Hg 0.000 0.000 0.000
4 Au 0.500 0.500 0.500

Summary:
- Crystal system: cubic
- Symmetry: No. 216

=====

ii:
This record from Alexandria via LeMat-Bulk describes a relaxed SrLiHgAu crystal. The functional is PBE.

Lattice parameters (Å, degrees): 4.739 4.743 5.931 113.39 90.00 119.97
Fractional coordinates of all 4 atoms:
1 Hg 0.828 0.656 0.126
2 Sr 0.620 0.239 0.501
3 Li 0.107 0.215 0.964
4 Au 0.411 0.823 0.876

Summary:
- Crystal system: monoclinic
- Symmetry: No. 8

=====

Most favorable first, least favorable last: ii, i